The following is a GGA-PBE calculation of crystalline LiMnB at its relaxed geometry, from the Alexandria database.

Properties
ΔH_f (0 K)   -19 meV per atom
Total moment   0.37 μB/atom

```
data_LiMnB
_chemical_formula_sum 'Li4 Mn4 B4'
_cell_length_a 2.803
_cell_length_b 17.819
_cell_length_c 2.894
_cell_angle_alpha 90.00
_cell_angle_beta 90.00
_cell_angle_gamma 90.00
_symmetry_space_group_name_H-M 'C m c m'
_symmetry_Int_Tables_number 63
_symmetry_space_group_name_Hall '-C 2c 2'
loop_
_atom_site_label
_atom_site_type_symbol
_atom_site_fract_x
_atom_site_fract_y
_atom_site_fract_z
_atom_site_occupancy
Li1 Li 0.000 0.182 0.250 1
Mn1 Mn 0.000 0.060 0.750 1
B1 B 0.000 0.469 0.750 1
```